## P
# TaAgOs2, optimized geometry, DFT PBE-GGA
# M_tot, μB per formula unit: 0.0
# Space-group type: Pmm2 (25)
data_TaAgOs2
_chemical_formula_sum 'Ta1 Ag1 Os2'
_cell_length_a 3.9680
_cell_length_b 2.8265
_cell_length_c 6.3424
_cell_angle_alpha 63.56
_cell_angle_beta 90.00
_cell_angle_gamma 90.00
_space_group_name_H-M_alt 'P 1'
_space_group_IT_number 1
loop_
_space_group_symop_operation_xyz
'x,y,z'
loop_
_atom_site_label
_atom_site_fract_x
_atom_site_fract_y
_atom_site_fract_z
Os1 0.0000 0.9745 0.0262
Os2 0.5000 0.2654 0.2345
Ag1 0.5000 0.7460 0.7538
Ta1 0.0000 0.5142 0.4854

=====

## Q
# TaAgOs2, optimized geometry, DFT PBE-GGA
# M_tot, μB per formula unit: 0.0
# Space-group type: I4/mmm (139)
data_TaAgOs2
_chemical_formula_sum 'Ta1 Ag1 Os2'
_cell_length_a 4.8117
_cell_length_b 4.8117
_cell_length_c 4.8117
_cell_angle_alpha 130.27
_cell_angle_beta 130.27
_cell_angle_gamma 72.97
_space_group_name_H-M_alt 'P 1'
_space_group_IT_number 1
loop_
_space_group_symop_operation_xyz
'x,y,z'
loop_
_atom_site_label
_atom_site_fract_x
_atom_site_fract_y
_atom_site_fract_z
Os1 0.0000 0.0000 0.0000
Os2 0.5000 0.5000 0.0000
Ag1 0.7500 0.2500 0.5000
Ta1 0.2500 0.7500 0.5000

=====

## R
# TaAgOs2, optimized geometry, DFT PBE-GGA
# M_tot, μB per formula unit: 0.0
# Space-group type: R-3m (166)
data_TaAgOs2
_chemical_formula_sum 'Ta1 Ag1 Os2'
_cell_length_a 9.4667
_cell_length_b 9.4667
_cell_length_c 9.4667
_cell_angle_alpha 17.17
_cell_angle_beta 17.17
_cell_angle_gamma 17.17
_space_group_name_H-M_alt 'P 1'
_space_group_IT_number 1
loop_
_space_group_symop_operation_xyz
'x,y,z'
loop_
_atom_site_label
_atom_site_fract_x
_atom_site_fract_y
_atom_site_fract_z
Os1 0.9960 0.9960 0.9960
Os2 0.5040 0.5040 0.5040
Ag1 0.7500 0.7500 0.7500
Ta1 0.2500 0.2500 0.2500

=====

Which structure is the least stable? The one labeled Q.

=====

## P
# TaAg2Os, optimized geometry, DFT PBE-GGA
# M_tot, μB per formula unit: 0.0
# Space-group type: Cmmm (65)
data_TaAg2Os
_chemical_formula_sum 'Ta1 Ag2 Os1'
_cell_length_a 5.2654
_cell_length_b 5.2654
_cell_length_c 2.7704
_cell_angle_alpha 90.00
_cell_angle_beta 90.00
_cell_angle_gamma 119.36
_space_group_name_H-M_alt 'P 1'
_space_group_IT_number 1
loop_
_space_group_symop_operation_xyz
'x,y,z'
loop_
_atom_site_label
_atom_site_fract_x
_atom_site_fract_y
_atom_site_fract_z
Os1 0.5000 0.0000 0.5000
Ag1 0.0000 0.0000 0.0000
Ag2 0.5000 0.5000 0.0000
Ta1 0.0000 0.5000 0.5000

=====

## Q
# TaAg2Os, optimized geometry, DFT PBE-GGA
# M_tot, μB per formula unit: 0.0
# Space-group type: Cmm2 (35)
data_TaAg2Os
_chemical_formula_sum 'Ta1 Ag2 Os1'
_cell_length_a 2.8094
_cell_length_b 2.8094
_cell_length_c 9.4643
_cell_angle_alpha 90.00
_cell_angle_beta 90.00
_cell_angle_gamma 112.79
_space_group_name_H-M_alt 'P 1'
_space_group_IT_number 1
loop_
_space_group_symop_operation_xyz
'x,y,z'
loop_
_atom_site_label
_atom_site_fract_x
_atom_site_fract_y
_atom_site_fract_z
Os1 0.0000 0.0000 0.5134
Ag1 0.0000 0.0000 0.9970
Ag2 0.5000 0.5000 0.2548
Ta1 0.5000 0.5000 0.7347

=====

Which structure is the least stable? The one labeled P.